(1)
# PaCl4 (PBE, relaxed)
data_PaCl4
_chemical_formula_sum 'Pa4 Cl16'
_space_group_name_H-M_alt 'I m m m'
_space_group_IT_number 71
_space_group_name_Hall '-I 2 2'
_cell_length_a 8.128
_cell_length_b 8.708
_cell_length_c 8.967
_cell_angle_alpha 90.00
_cell_angle_beta 90.00
_cell_angle_gamma 90.00
loop_
_atom_site_label
_atom_site_fract_x
_atom_site_fract_y
_atom_site_fract_z
Pa1 0.249 0.000 0.000
Cl1 0.000 0.000 0.203
Cl2 0.000 0.500 0.299
Cl3 0.245 0.291 0.000
# total moment = 4.01 μB per cell
# E_tot = -103.89 eV for the cell shown
# polymorph energy (0 for the lowest one) = 28.4 meV/atom

***

(2)
# SrPaCl6 (PBE, relaxed)
data_SrPaCl6
_chemical_formula_sum 'Sr2 Pa2 Cl12'
_space_group_name_H-M_alt 'C 1 2/m 1'
_space_group_IT_number 12
_cell_length_a 7.010
_cell_length_b 11.427
_cell_length_c 6.945
_cell_angle_alpha 90.00
_cell_angle_beta 104.88
_cell_angle_gamma 90.00
loop_
_space_group_symop_operation_xyz
'x,y,z'
'-x,-y,-z'
'-x,y,-z'
'x,-y,z'
'x+1/2,y+1/2,z'
'-x+1/2,-y+1/2,-z'
'-x+1/2,y+1/2,-z'
'x+1/2,-y+1/2,z'
loop_
_atom_site_label
_atom_site_fract_x
_atom_site_fract_y
_atom_site_fract_z
Sr1 0.000 0.000 0.000
Pa1 0.000 0.500 0.500
Cl1 0.223 0.343 0.737
Cl2 0.248 0.500 0.272
# total moment = 2.01 μB per cell
# E_tot = -78.05 eV for the cell shown

***

(3)
# PaTlCl6 (PBE, relaxed)
data_PaTlCl6
_chemical_formula_sum 'Pa1 Tl1 Cl6'
_space_group_name_H-M_alt 'P -1'
_space_group_IT_number 2
_cell_length_a 7.083
_cell_length_b 7.084
_cell_length_c 7.708
_cell_angle_alpha 62.66
_cell_angle_beta 62.70
_cell_angle_gamma 60.04
loop_
_space_group_symop_operation_xyz
'x,y,z'
'-x,-y,-z'
loop_
_atom_site_label
_atom_site_fract_x
_atom_site_fract_y
_atom_site_fract_z
Pa1 0.000 0.000 0.000
Tl1 0.500 0.500 0.500
Cl1 0.043 0.385 0.774
Cl2 0.202 0.957 0.226
Cl3 0.385 0.798 0.774
# total moment = 0.00 μB per cell
# E_tot = -36.47 eV for the cell shown

***

> Number 1 is which compound?

PaCl4

***

> Among the records above, which one has the lowest E_tot?

PaCl4

***

> What is the total moment in the third record?

0.00 μB per cell

***

> What is the total moment in the third record?

0.00 μB per cell